{
  "formula": "BaSiTeP2",
  "functional": "PBE",
  "state": "optimized geometry",
  "cell": [[5.407, 0.000, 0.000], [0.000, 5.407, 0.000], [0.000, 0.000, 6.033]],
  "species": ["Ba", "Si", "Te", "P", "P"],
  "fractional_positions": [[0.000, 0.000, 0.000], [0.000, 0.000, 0.500], [0.500, 0.500, 0.500], [0.000, 0.500, 0.000], [0.500, 0.000, 0.000]],
  "sg": "No. 123",
  "crystal_system": "tetragonal",
  "dos_ef_per_ev_atom": 1.318,
  "magnetic_moment_mub_per_cell": 0.000,
  "vol_a3_per_atom": 35.28,
  "final_energy_ev_per_atom": -2.67
}